(1)
Computed, not measured: a relaxed structure of CaSbPb3 at the PBEsol level of DFT.

Properties
VASP energy in eV/atom: -3.38
SG: No. 221
V in Å³/cell: 192.55
Fermi-level density of states in states/eV per atom: 0.8547

Unit cell a=5.7745 b=5.7745 c=5.7745 alpha=90.00 beta=90.00 gamma=90.00
Fractional positions:
Ca (0.0000, 0.0000, 0.0000)
Sb (0.5000, 0.5000, 0.5000)
Pb (0.0000, 0.5000, 0.5000)
Pb (0.5000, 0.0000, 0.5000)
Pb (0.5000, 0.5000, 0.0000)


(2)
Computed, not measured: a relaxed structure of CaSb2Pb at the PBEsol level of DFT.

Properties
VASP energy in eV/atom: -4.25
SG: No. 65
V in Å³/cell: 111.32
Fermi-level density of states in states/eV per atom: 0.5603

Unit cell a=5.1909 b=5.1909 c=4.2101 alpha=90.00 beta=90.00 gamma=101.11
Fractional positions:
Ca (0.0000, 0.0000, 0.0000)
Sb (0.0000, 0.5000, 0.5000)
Sb (0.5000, 0.0000, 0.5000)
Pb (0.5000, 0.5000, 0.0000)


(3)
Computed, not measured: a relaxed structure of CaSb2Pb at the PBEsol level of DFT.

Properties
VASP energy in eV/atom: -3.94
SG: No. 122
V in Å³/cell: 281.13
Fermi-level density of states in states/eV per atom: 0.2321

Unit cell a=7.1875 b=7.1875 c=7.1875 alpha=113.93 beta=113.93 gamma=100.89
Fractional positions:
Ca (0.0000, 0.0000, 0.0000)
Ca (0.7500, 0.2500, 0.5000)
Sb (0.1512, 0.1250, 0.5262)
Sb (0.3750, 0.8488, 0.9738)
Sb (0.5988, 0.6250, 0.4738)
Sb (0.8750, 0.4012, 0.0262)
Pb (0.2500, 0.7500, 0.5000)
Pb (0.5000, 0.5000, 0.0000)


(4)
Computed, not measured: a relaxed structure of CaSb2Pb at the PBEsol level of DFT.

Properties
VASP energy in eV/atom: -4.23
SG: No. 8
V in Å³/cell: 111.05
Fermi-level density of states in states/eV per atom: 0.4958

Unit cell a=6.3282 b=6.3282 c=4.9896 alpha=113.18 beta=113.18 gamma=37.67
Fractional positions:
Ca (0.0000, 0.0000, 0.0000)
Sb (0.4956, 0.4956, 0.4954)
Sb (0.7736, 0.7736, 0.2753)
Pb (0.2339, 0.2339, 0.7342)


(5)
Computed, not measured: a relaxed structure of CaSb2Pb at the PBEsol level of DFT.

Properties
VASP energy in eV/atom: -4.24
SG: No. 123
V in Å³/cell: 109.78
Fermi-level density of states in states/eV per atom: 0.5662

Unit cell a=4.9822 b=4.9822 c=4.4226 alpha=90.00 beta=90.00 gamma=90.00
Fractional positions:
Ca (0.0000, 0.0000, 0.0000)
Sb (0.0000, 0.5000, 0.5000)
Sb (0.5000, 0.0000, 0.5000)
Pb (0.5000, 0.5000, 0.0000)


(6)
Computed, not measured: a relaxed structure of CaSb2Pb at the PBEsol level of DFT.

Properties
VASP energy in eV/atom: -4.03
SG: No. 216
V in Å³/cell: 112.35
Fermi-level density of states in states/eV per atom: 0.5688

Unit cell a=5.4162 b=5.4162 c=5.4162 alpha=60.00 beta=60.00 gamma=60.00
Fractional positions:
Ca (0.0000, 0.0000, 0.0000)
Sb (0.5000, 0.5000, 0.5000)
Sb (0.7500, 0.7500, 0.7500)
Pb (0.2500, 0.2500, 0.2500)


(7)
Computed, not measured: a relaxed structure of Ca2Sb2Pb at the PBEsol level of DFT.

Properties
VASP energy in eV/atom: -4.17
SG: No. 127
V in Å³/cell: 291.50
Fermi-level density of states in states/eV per atom: 0.2996

Unit cell a=8.9792 b=8.9792 c=3.6154 alpha=90.00 beta=90.00 gamma=90.00
Fractional positions:
Ca (0.1392, 0.3608, 0.0000)
Ca (0.3608, 0.8608, 0.0000)
Ca (0.6392, 0.1392, 0.0000)
Ca (0.8608, 0.6392, 0.0000)
Sb (0.1607, 0.6607, 0.5000)
Sb (0.3393, 0.1607, 0.5000)
Sb (0.6607, 0.8393, 0.5000)
Sb (0.8393, 0.3393, 0.5000)
Pb (0.0000, 0.0000, 0.5000)
Pb (0.5000, 0.5000, 0.5000)


(8)
Computed, not measured: a relaxed structure of CaSbPb at the PBEsol level of DFT.

Properties
VASP energy in eV/atom: -3.98
SG: No. 107
V in Å³/cell: 85.35
Fermi-level density of states in states/eV per atom: 0.6738

Unit cell a=6.0054 b=6.0054 c=6.0054 alpha=140.93 beta=140.93 gamma=56.44
Fractional positions:
Ca (0.0000, 0.0000, 0.0000)
Sb (0.3300, 0.3300, 0.0000)
Pb (0.6875, 0.6875, 0.0000)


(9)
Computed, not measured: a relaxed structure of CaSb2Pb at the PBEsol level of DFT.

Properties
VASP energy in eV/atom: -4.22
SG: No. 139
V in Å³/cell: 110.65
Fermi-level density of states in states/eV per atom: 0.4383

Unit cell a=5.7411 b=5.7411 c=5.7411 alpha=129.22 beta=129.22 gamma=74.66
Fractional positions:
Ca (0.0000, 0.0000, 0.0000)
Sb (0.2500, 0.7500, 0.5000)
Sb (0.7500, 0.2500, 0.5000)
Pb (0.5000, 0.5000, 0.0000)


(10)
Computed, not measured: a relaxed structure of CaSb2TePb at the PBEsol level of DFT.

Properties
VASP energy in eV/atom: -3.45
SG: No. 123
V in Å³/cell: 186.39
Fermi-level density of states in states/eV per atom: 1.2436

Unit cell a=5.6359 b=5.6359 c=5.8680 alpha=90.00 beta=90.00 gamma=90.00
Fractional positions:
Ca (0.0000, 0.0000, 0.0000)
Sb (0.0000, 0.5000, 0.5000)
Sb (0.5000, 0.0000, 0.5000)
Te (0.5000, 0.5000, 0.0000)
Pb (0.5000, 0.5000, 0.5000)


(11)
Computed, not measured: a relaxed structure of CaSc3Pb at the PBEsol level of DFT.

Properties
SG: No. 221
V in Å³/cell: 131.33
Fermi-level density of states in states/eV per atom: 1.3256
E_form in kcal/mol of atoms: 22.47

Unit cell a=5.0830 b=5.0830 c=5.0830 alpha=90.00 beta=90.00 gamma=90.00
Fractional positions:
Ca (0.0000, 0.0000, 0.0000)
Sc (0.0000, 0.0000, 0.5000)
Sc (0.0000, 0.5000, 0.0000)
Sc (0.5000, 0.0000, 0.0000)
Pb (0.5000, 0.5000, 0.5000)


(12)
Computed, not measured: a relaxed structure of CaPb3Se4 at the PBEsol level of DFT.

Properties
VASP energy in eV/atom: -4.59
SG: No. 65
V in Å³/cell: 221.40

Unit cell a=7.4134 b=7.4134 c=4.2700 alpha=90.00 beta=90.00 gamma=109.36
Fractional positions:
Ca (0.0000, 0.0000, 0.0000)
Pb (0.0000, 0.5000, 0.5000)
Pb (0.5000, 0.0000, 0.5000)
Pb (0.5000, 0.5000, 0.0000)
Se (0.2412, 0.2412, 0.5000)
Se (0.2453, 0.7547, 0.0000)
Se (0.7547, 0.2453, 0.0000)
Se (0.7588, 0.7588, 0.5000)


(13)
Computed, not measured: a relaxed structure of Ca2PbSe at the PBEsol level of DFT.

Properties
VASP energy in eV/atom: -4.25
SG: No. 166
V in Å³/cell: 113.61
Fermi-level density of states in states/eV per atom: 0.2373

Unit cell a=8.5970 b=8.5970 c=8.5970 alpha=26.76 beta=26.76 gamma=26.76
Fractional positions:
Ca (0.2368, 0.2368, 0.2368)
Ca (0.7632, 0.7632, 0.7632)
Pb (0.0000, 0.0000, 0.0000)
Se (0.5000, 0.5000, 0.5000)


(14)
Computed, not measured: a relaxed structure of CaTaPbSe2 at the PBEsol level of DFT.

Properties
VASP energy in eV/atom: -3.97
SG: No. 123
V in Å³/cell: 162.30
Fermi-level density of states in states/eV per atom: 1.3122

Unit cell a=5.4155 b=5.4155 c=5.5340 alpha=90.00 beta=90.00 gamma=90.00
Fractional positions:
Ca (0.0000, 0.0000, 0.0000)
Ta (0.5000, 0.5000, 0.0000)
Pb (0.0000, 0.0000, 0.5000)
Se (0.0000, 0.5000, 0.5000)
Se (0.5000, 0.0000, 0.5000)


(15)
Computed, not measured: a relaxed structure of Ca2SiPb at the PBEsol level of DFT.

Properties
VASP energy in eV/atom: -3.95
SG: No. 123
V in Å³/cell: 99.77
Fermi-level density of states in states/eV per atom: 0.3106

Unit cell a=3.3661 b=3.3661 c=8.8053 alpha=90.00 beta=90.00 gamma=90.00
Fractional positions:
Ca (0.0000, 0.0000, 0.2186)
Ca (0.0000, 0.0000, 0.7814)
Si (0.5000, 0.5000, 0.0000)
Pb (0.5000, 0.5000, 0.5000)


(16)
Computed, not measured: a relaxed structure of CaSiPb2 at the PBEsol level of DFT.

Properties
VASP energy in eV/atom: -4.02
SG: No. 25
V in Å³/cell: 103.99
Fermi-level density of states in states/eV per atom: 0.5227

Unit cell a=3.9411 b=3.9910 c=6.6110 alpha=90.00 beta=90.00 gamma=90.00
Fractional positions:
Ca (0.0000, 0.0000, 0.0000)
Si (0.5000, 0.5000, 0.7354)
Pb (0.0000, 0.0000, 0.5374)
Pb (0.5000, 0.5000, 0.2844)


(17)
Computed, not measured: a relaxed structure of Ca2SiPb at the PBEsol level of DFT.

Properties
VASP energy in eV/atom: -3.56
SG: No. 99
V in Å³/cell: 110.21
Fermi-level density of states in states/eV per atom: 0.9749

Unit cell a=4.1197 b=4.1197 c=6.4940 alpha=90.00 beta=90.00 gamma=90.00
Fractional positions:
Ca (0.0000, 0.0000, 0.0000)
Ca (0.5000, 0.5000, 0.3238)
Si (0.5000, 0.5000, 0.7886)
Pb (0.0000, 0.0000, 0.5479)


(18)
Computed, not measured: a relaxed structure of Ca2SiPb at the PBEsol level of DFT.

Properties
VASP energy in eV/atom: -3.91
SG: No. 139
V in Å³/cell: 99.19
Fermi-level density of states in states/eV per atom: 0.3141

Unit cell a=5.5421 b=5.5421 c=5.5421 alpha=129.36 beta=129.36 gamma=74.44
Fractional positions:
Ca (0.2500, 0.7500, 0.5000)
Ca (0.7500, 0.2500, 0.5000)
Si (0.0000, 0.0000, 0.0000)
Pb (0.5000, 0.5000, 0.0000)


(19)
Computed, not measured: a relaxed structure of CaSiPb2 at the PBEsol level of DFT.

Properties
VASP energy in eV/atom: -3.98
SG: No. 10
V in Å³/cell: 103.94
Fermi-level density of states in states/eV per atom: 0.4424

Unit cell a=3.4239 b=5.4277 c=5.5969 alpha=90.00 beta=92.20 gamma=90.00
Fractional positions:
Ca (0.0000, 0.0000, 0.0000)
Si (0.5000, 0.0000, 0.5000)
Pb (0.3116, 0.5000, 0.7417)
Pb (0.6884, 0.5000, 0.2583)


(20)
Computed, not measured: a relaxed structure of Ca2SiPb at the PBEsol level of DFT.

Properties
VASP energy in eV/atom: -3.84
SG: No. 8
V in Å³/cell: 103.69
Fermi-level density of states in states/eV per atom: 0.3670

Unit cell a=6.2437 b=6.2437 c=5.2213 alpha=109.78 beta=109.78 gamma=32.98
Fractional positions:
Ca (0.0000, 0.0000, 0.0000)
Ca (0.2132, 0.2132, 0.6367)
Si (0.4725, 0.4725, 0.5021)
Pb (0.7732, 0.7732, 0.1858)